# PBE Ce2AgTe, optimized geometry
data_Ce2AgTe
_symmetry_space_group_name_H-M 'P 1'
_symmetry_Int_Tables_number 1
_cell_length_a 5.291
_cell_length_b 5.291
_cell_length_c 3.903
_cell_angle_alpha 90.00
_cell_angle_beta 90.00
_cell_angle_gamma 90.00
loop_
_symmetry_equiv_pos_as_xyz
'x,y,z'
loop_
_atom_site_label
_atom_site_type_symbol
_atom_site_fract_x
_atom_site_fract_y
_atom_site_fract_z
Ce1 Ce 0.000 0.500 0.000
Ce2 Ce 0.500 0.000 0.000
Ag1 Ag 0.000 0.000 0.500
Te1 Te 0.500 0.500 0.500
# formation energy (no corrections): -0.60 eV/atom
# VASP energy: -5.064 eV per atom
# ρ: 7.84 Mg/m³
# V: 109.3 Å³/cell
# D(E_F): 14.24 states/eV/cell